Here is Li4AcPu after structural relaxation from Alexandria. Energies are from PBE.

Unit cell a=6.0265 b=6.0265 c=6.0265 alpha=60.00 beta=60.00 gamma=60.00
Fractional coordinates of all 6 atoms:
Li (0.1245, 0.1245, 0.1245)
Li (0.1245, 0.1245, 0.6265)
Li (0.1245, 0.6265, 0.1245)
Li (0.6265, 0.1245, 0.1245)
Ac (0.5000, 0.5000, 0.5000)
Pu (0.7500, 0.7500, 0.7500)

Calculated values
space group = F-43m
energy relative to the elements = 0.211 eV/atom
magnetic moment = 7.22 μB per cell